1.
A PBEsol-optimized structure of ZrTcP2O. Source: Alexandria via LeMat-Bulk, functional SCAN.

Lattice parameters (Å, degrees): 4.7264 4.7264 3.6044 90.00 90.00 90.00
With the nearest neighbours (Å) after each atom.
Fractional coordinates of all 5 atoms:
Zr1 0.0000 0.0000 0.0000  8 P 2.97
Tc1 0.5000 0.5000 0.5000  2 O 1.80
P1 0.0000 0.5000 0.5000  2 Tc 2.36
P2 0.5000 0.0000 0.5000  2 Tc 2.36
O1 0.5000 0.5000 0.0000  2 Tc 1.80

- ΔE_f (raw) (eV per atom) = -0.511
- total moment (μB per cell) = 0.000
- mass density (Mg/m³) = 5.51
- symmetry = P4/mmm

=====

2.
A PBEsol-optimized structure of BaCdAu4. Source: Alexandria via LeMat-Bulk, functional SCAN.

Lattice parameters (Å, degrees): 5.6475 5.6475 5.6475 60.00 60.00 60.00
With the nearest neighbours (Å) after each atom.
Fractional coordinates of all 6 atoms:
Ba1 0.0000 0.0000 0.0000  12 Au 3.31, 4 Cd 3.46
Cd1 0.2500 0.2500 0.2500  12 Au 3.31, 4 Ba 3.46
Au1 0.1278 0.6241 0.6241  6 Au 2.80-2.84
Au2 0.6241 0.1278 0.6241  6 Au 2.80-2.84
Au3 0.6241 0.6241 0.1278  6 Au 2.80-2.84
Au4 0.6241 0.6241 0.6241  6 Au 2.80-2.84

- calculated formation energy (eV per atom) = -0.430
- total moment (μB per cell) = 0.000
- mass density (Mg/m³) = 13.53
- symmetry = F-43m

=====

3.
A PBEsol-optimized structure of SbOsRu. Source: Alexandria via LeMat-Bulk, functional SCAN.

Lattice parameters (Å, degrees): 4.7626 4.7626 4.7626 144.22 130.54 62.53
With the nearest neighbours (Å) after each atom.
Fractional coordinates of all 3 atoms:
Sb1 0.0000 0.0000 0.0000  5 Ru 2.62-2.87, 5 Os 2.63-2.86, 2 Sb 2.93
Os1 0.6771 0.6771 0.0000  5 Sb 2.63-2.86, 5 Ru 2.74-2.90, 2 Os 2.93
Ru1 0.3215 0.3215 0.0000  5 Sb 2.62-2.87, 5 Os 2.74-2.90, 2 Ru 2.93

- ΔE_f (raw) (eV per atom) = 0.590
- total moment (μB per cell) = 0.000
- mass density (Mg/m³) = 14.45
- symmetry = Imm2

=====

4.
A PBEsol-optimized structure of TaTlP2. Source: Alexandria via LeMat-Bulk, functional SCAN.

Lattice parameters (Å, degrees): 3.2378 3.2378 8.4722 90.00 90.00 90.00
With the nearest neighbours (Å) after each atom.
Fractional coordinates of all 4 atoms:
Ta1 0.0000 0.0000 0.0000  5 P 2.33-2.48
Tl1 0.5000 0.5000 0.4727  5 P 3.04-3.13, 4 Tl 3.24
P1 0.0000 0.0000 0.7247  1 Ta 2.33
P2 0.5000 0.5000 0.1136  4 Ta 2.48

- calculated formation energy (eV per atom) = 0.052
- total moment (μB per cell) = 0.000
- mass density (Mg/m³) = 8.36
- symmetry = P4mm